No. 1
Density functional theory data (PBE) for AgPbAu2 after structural relaxation.

Lattice parameters (Å, degrees): 3.5660 3.5727 6.5939 90.00 90.00 90.00
Fractional positions:
Pb: 0.0000 0.0000 0.4929
Au: 0.5000 0.5000 0.2241
Au: 0.0000 0.0000 0.9989
Ag: 0.5000 0.5000 0.7842

Properties
DOS at the Fermi energy: 0.1989 states/eV per atom
total magnetic moment: 0.00 Bohr magnetons per cell
calculated density: 14.014 g/cm³
energy of formation from the pure elements: 0.02 eV per atom



No. 2
Density functional theory data (PBE) for La2CoP after structural relaxation.

Lattice parameters (Å, degrees): 3.6554 3.6554 8.1775 90.00 90.00 108.88
Last column: magnetic moment on the atom in μB.
Fractional positions:
Co: 0.5000 0.5000 0.6751  0.65
P: 0.0000 0.0000 0.5717  0.02
La: 0.5000 0.5000 0.3402  0.06
La: 0.0000 0.0000 0.9130  -0.03

Properties
DOS at the Fermi energy: 1.5894 states/eV per atom
total magnetic moment: 0.84 Bohr magnetons per cell
calculated density: 5.906 g/cm³
energy of formation from the pure elements: -0.22 eV per atom



No. 3
Density functional theory data (PBE) for Nd4AsPtBr2 after structural relaxation.

Lattice parameters (Å, degrees): 4.1700 7.6375 7.6690 107.66 90.00 90.00
Fractional positions:
Nd: 0.0000 0.7387 0.2150
Nd: 0.5000 0.7785 0.7939
Nd: 0.0000 0.2613 0.7850
Nd: 0.5000 0.2215 0.2061
Pt: 0.0000 0.0000 0.0000
Br: 0.5000 0.0000 0.5000
Br: 0.0000 0.5000 0.5000
As: 0.5000 0.5000 0.0000

Properties
DOS at the Fermi energy: 0.7340 states/eV per atom
formation energy without anion corrections: -10.37 eV per formula unit
total magnetic moment: 0.00 Bohr magnetons per cell
calculated density: 7.183 g/cm³



No. 4
Density functional theory data (PBE) for CaSmPd6 after structural relaxation.

Lattice parameters (Å, degrees): 4.7256 5.9410 5.9410 120.01 90.00 90.00
Fractional positions:
Pd: 0.0000 0.5891 0.4109
Pd: 0.0000 0.0715 0.4109
Pd: 0.5000 0.9103 0.5704
Pd: 0.5000 0.4296 0.0897
Pd: 0.5000 0.9103 0.0897
Pd: 0.0000 0.5891 0.9285
Ca: 0.5000 0.4167 0.5833
Sm: 0.0000 0.0833 0.9167

Properties
DOS at the Fermi energy: 1.1196 states/eV per atom
offset from the most stable computed form: 0.000 eV per atom
total magnetic moment: 0.00 Bohr magnetons per cell
calculated density: 9.531 g/cm³
energy of formation from the pure elements: -0.63 eV per atom



What is the DOS at the Fermi energy in the second record? 1.5894 states/eV per atom